Record 1
A relaxed structure of SrGa2As2, computed with GGA-PBEsol.

Cell and atoms, written as CIF:
```
data_SrGa2As2
_chemical_formula_sum 'Sr1 Ga2 As2'
_symmetry_space_group_name_H-M 'P 1'
_symmetry_Int_Tables_number 1
_cell_length_a 5.708
_cell_length_b 5.708
_cell_length_c 5.708
_cell_angle_alpha 129.32
_cell_angle_beta 129.32
_cell_angle_gamma 74.49
loop_
_symmetry_equiv_pos_as_xyz
'x,y,z'
loop_
_atom_site_label
_atom_site_type_symbol
_atom_site_fract_x
_atom_site_fract_y
_atom_site_fract_z
Sr1 Sr 0.000 0.000 0.000
Ga1 Ga 0.361 0.361 0.000
Ga2 Ga 0.639 0.639 0.000
As1 As 0.250 0.750 0.500
As2 As 0.750 0.250 0.500
```

Properties
Space group: I4/mmm
Formation energy from the elements (eV/atom): -0.5204
Total energy (Ha/atom): -0.157

---

Record 2
A relaxed structure of Ba2IrW, computed with GGA-PBEsol.

Cell and atoms, written as CIF:
```
data_Ba2IrW
_chemical_formula_sum 'Ba2 Ir1 W1'
_symmetry_space_group_name_H-M 'P 1'
_symmetry_Int_Tables_number 1
_cell_length_a 4.207
_cell_length_b 4.207
_cell_length_c 5.368
_cell_angle_alpha 90.00
_cell_angle_beta 90.00
_cell_angle_gamma 90.00
loop_
_symmetry_equiv_pos_as_xyz
'x,y,z'
loop_
_atom_site_label
_atom_site_type_symbol
_atom_site_fract_x
_atom_site_fract_y
_atom_site_fract_z
Ba1 Ba 0.000 0.500 0.000
Ba2 Ba 0.500 0.000 0.000
Ir1 Ir 0.000 0.000 0.500
W1 W 0.500 0.500 0.500
```

Properties
Space group: P4/mmm
Formation energy from the elements (eV/atom): 1.3014
Excess energy over the best structure of this formula in the dataset (meV per atom): 1084
Total energy (Ha/atom): -0.209

---

Record 3
A relaxed structure of V2OF5, computed with GGA-PBEsol.

Cell and atoms, written as CIF:
```
data_V2OF5
_chemical_formula_sum 'V6 O3 F15'
_symmetry_space_group_name_H-M 'P 1'
_symmetry_Int_Tables_number 1
_cell_length_a 5.181
_cell_length_b 5.181
_cell_length_c 13.112
_cell_angle_alpha 90.00
_cell_angle_beta 90.00
_cell_angle_gamma 120.00
loop_
_symmetry_equiv_pos_as_xyz
'x,y,z'
loop_
_atom_site_label
_atom_site_type_symbol
_atom_site_fract_x
_atom_site_fract_y
_atom_site_fract_z
V1 V 0.031 0.337 0.079
V2 V 0.306 0.969 0.412
V3 V 0.337 0.031 0.921
V4 V 0.663 0.694 0.745
V5 V 0.694 0.663 0.255
V6 V 0.969 0.306 0.588
O1 O 0.000 0.762 0.333
O2 O 0.238 0.238 0.000
O3 O 0.762 0.000 0.667
F1 F 0.000 0.917 0.833
F2 F 0.083 0.083 0.500
F3 F 0.102 0.681 0.004
F4 F 0.244 0.659 0.503
F5 F 0.319 0.421 0.670
F6 F 0.341 0.585 0.170
F7 F 0.415 0.756 0.837
F8 F 0.421 0.319 0.330
F9 F 0.579 0.898 0.337
F10 F 0.585 0.341 0.830
F11 F 0.659 0.244 0.497
F12 F 0.681 0.102 0.996
F13 F 0.756 0.415 0.163
F14 F 0.898 0.579 0.663
F15 F 0.917 0.000 0.167
```

Properties
Space group: P3_221
Excess energy over the best structure of this formula in the dataset (meV per atom): 0
Total energy (Ha/atom): -0.260

---

Record 4
A relaxed structure of KRuAu2, computed with GGA-PBEsol.

Cell and atoms, written as CIF:
```
data_KRuAu2
_chemical_formula_sum 'K1 Ru1 Au2'
_symmetry_space_group_name_H-M 'P 1'
_symmetry_Int_Tables_number 1
_cell_length_a 2.709
_cell_length_b 3.917
_cell_length_c 7.528
_cell_angle_alpha 90.00
_cell_angle_beta 90.07
_cell_angle_gamma 90.00
loop_
_symmetry_equiv_pos_as_xyz
'x,y,z'
loop_
_atom_site_label
_atom_site_type_symbol
_atom_site_fract_x
_atom_site_fract_y
_atom_site_fract_z
K1 K 0.000 0.000 0.000
Ru1 Ru 0.000 0.000 0.500
Au1 Au 0.500 0.500 0.313
Au2 Au 0.500 0.500 0.687
```

Properties
Space group: P2/m
Formation energy from the elements (eV/atom): 0.3685
Excess energy over the best structure of this formula in the dataset (meV per atom): 0
Total energy (Ha/atom): -0.162

---

Record 5
A relaxed structure of LiRu2, computed with GGA-PBEsol.

Cell and atoms, written as CIF:
```
data_LiRu2
_chemical_formula_sum 'Li2 Ru4'
_symmetry_space_group_name_H-M 'P 1'
_symmetry_Int_Tables_number 1
_cell_length_a 7.281
_cell_length_b 7.281
_cell_length_c 4.271
_cell_angle_alpha 90.00
_cell_angle_beta 90.00
_cell_angle_gamma 158.83
loop_
_symmetry_equiv_pos_as_xyz
'x,y,z'
loop_
_atom_site_label
_atom_site_type_symbol
_atom_site_fract_x
_atom_site_fract_y
_atom_site_fract_z
Li1 Li 0.222 0.778 0.750
Li2 Li 0.778 0.222 0.250
Ru1 Ru 0.101 0.899 0.250
Ru2 Ru 0.445 0.555 0.250
Ru3 Ru 0.555 0.445 0.750
Ru4 Ru 0.899 0.101 0.750
```

Properties
Space group: Cmcm
Formation energy from the elements (eV/atom): 0.2123
Total energy (Ha/atom): -0.266

---

Record 6
A relaxed structure of CsCdSeN2, computed with GGA-PBEsol.

Cell and atoms, written as CIF:
```
data_CsCdSeN2
_chemical_formula_sum 'Cs1 Cd1 Se1 N2'
_symmetry_space_group_name_H-M 'P 1'
_symmetry_Int_Tables_number 1
_cell_length_a 4.279
_cell_length_b 4.279
_cell_length_c 6.919
_cell_angle_alpha 90.00
_cell_angle_beta 90.00
_cell_angle_gamma 90.00
loop_
_symmetry_equiv_pos_as_xyz
'x,y,z'
loop_
_atom_site_label
_atom_site_type_symbol
_atom_site_fract_x
_atom_site_fract_y
_atom_site_fract_z
Cs1 Cs 0.000 0.000 0.000
Cd1 Cd 0.500 0.500 0.500
Se1 Se 0.000 0.000 0.500
N1 N 0.000 0.500 0.000
N2 N 0.500 0.000 0.000
```

Properties
Space group: P4/mmm
Total energy (Ha/atom): -0.094